Compound: Ba3CaMg2
Source: Alexandria via LeMat-Bulk
Functional: PBE-GGA
Structure: optimized geometry

Lattice parameters (Å, degrees): 4.3488 4.3488 14.3868 90.00 90.00 90.00
Fractional coordinates of all 6 atoms:
Ba: 0.0000 0.0000 0.0000
Ba: 0.0000 0.0000 0.6961
Ba: 0.0000 0.0000 0.3039
Mg: 0.5000 0.5000 0.1560
Mg: 0.5000 0.5000 0.8440
Ca: 0.5000 0.5000 0.5000

Calculated values
The calculated total energy is -11.13 eV per cell. The calculation puts the formation energy at -0.03 eV/atom. The calculated density comes out at 3.06 Mg/m³.

=====

Compound: Ge2TeBr2
Source: Alexandria via LeMat-Bulk
Functional: PBE-GGA
Structure: optimized geometry

Lattice parameters (Å, degrees): 8.3731 8.3731 4.1806 90.00 90.00 90.00
Fractional coordinates of all 10 atoms:
Br: 0.1437 0.6437 0.5000
Br: 0.6437 0.8563 0.5000
Br: 0.3563 0.1437 0.5000
Br: 0.8563 0.3563 0.5000
Ge: 0.7868 0.7132 0.0000
Ge: 0.2868 0.7868 0.0000
Ge: 0.7132 0.2132 0.0000
Ge: 0.2132 0.2868 0.0000
Te: 0.0000 0.0000 0.0000
Te: 0.5000 0.5000 0.0000

Calculated values
The value obtained for the uncorrected formation energy is -0.0740 eV/atom. The calculated total energy is -32.18 eV per cell. The calculated density comes out at 4.90 Mg/m³.

=====

Compound: HfAu3C
Source: Alexandria via LeMat-Bulk
Functional: PBE-GGA
Structure: optimized geometry

Lattice parameters (Å, degrees): 5.2639 5.2639 5.2639 90.00 90.00 90.00
Fractional coordinates of all 5 atoms:
Hf: 0.0000 0.0000 0.0000
C: 0.5000 0.5000 0.5000
Au: 0.5000 0.0000 0.0000
Au: 0.0000 0.0000 0.5000
Au: 0.0000 0.5000 0.0000

Calculated values
The calculated total energy is -18.92 eV per cell. The calculation puts the formation energy at 2.02 eV/atom. The calculated density comes out at 8.90 Mg/m³.

=====

Compound: Nd3Cu2Rh3
Source: Alexandria via LeMat-Bulk
Functional: PBE-GGA
Structure: optimized geometry

Lattice parameters (Å, degrees): 4.2606 5.8308 14.3049 90.00 90.00 111.43
Fractional coordinates of all 16 atoms:
Cu: 0.7895 0.5790 0.5981
Cu: 0.2105 0.4210 0.4019
Cu: 0.2105 0.4210 0.0981
Cu: 0.7895 0.5790 0.9019
Nd: 0.6345 0.2691 0.2500
Nd: 0.0920 0.1841 0.6053
Nd: 0.0920 0.1841 0.8947
Nd: 0.3655 0.7309 0.7500
Nd: 0.9080 0.8159 0.3947
Nd: 0.9080 0.8159 0.1053
Rh: 0.3922 0.7844 0.9570
Rh: 0.6078 0.2156 0.4570
Rh: 0.3521 0.7042 0.2500
Rh: 0.6078 0.2156 0.0430
Rh: 0.3922 0.7844 0.5430
Rh: 0.6479 0.2958 0.7500

Calculated values
The calculated total energy is -96.54 eV per cell. The calculation puts the formation energy at -0.46 eV/atom. The calculated density comes out at 8.72 Mg/m³.

=====

Compound: SrMnCr
Source: Alexandria via LeMat-Bulk
Functional: PBE-GGA
Structure: optimized geometry

Lattice parameters (Å, degrees): 6.3333 6.3333 6.3333 148.65 148.60 44.97
Fractional coordinates of all 3 atoms:
Sr: 0.6682 0.6682 0.0000
Cr: 0.9469 0.9469 0.0000
Mn: 0.3849 0.3849 0.0000

Calculated values
The calculated total energy is -18.80 eV per cell. The calculation puts the formation energy at 0.56 eV/atom. The calculated density comes out at 4.71 Mg/m³.

=====

Compound: ThCuHgTe3
Source: Alexandria via LeMat-Bulk
Functional: PBE-GGA
Structure: optimized geometry

Lattice parameters (Å, degrees): 4.3442 10.9025 8.9689 108.49 90.00 90.00
Fractional coordinates of all 12 atoms:
Th: 0.2500 0.6815 0.1574
Th: 0.7500 0.3185 0.8426
Te: 0.2500 0.8286 0.5181
Te: 0.2500 0.1385 0.9079
Te: 0.2500 0.5146 0.7932
Te: 0.7500 0.4854 0.2068
Te: 0.7500 0.1714 0.4819
Te: 0.7500 0.8615 0.0921
Hg: 0.2500 0.2564 0.2719
Hg: 0.7500 0.7436 0.7281
Cu: 0.7500 0.9190 0.4059
Cu: 0.2500 0.0810 0.5941

Calculated values
The value obtained for the uncorrected formation energy is -0.5634 eV/atom. The calculated total energy is -49.25 eV per cell. The calculated density comes out at 7.25 Mg/m³.

=====

Look up the calculated density of the fourth one.
8.72 Mg/m³